No. 1
An optimized crystal structure of SrTlBr3. Source: Alexandria via LeMat-Bulk, functional PBE.

The electronic total energy comes out at -3.328 eV/atom.

The structure belongs to space group Pm-3m (No. 221); the cell edges are 5.9624, 5.9624 and 5.9624 Å and the angles 90.00°, 90.00° and 90.00°. The inequivalent atoms are Sr at (0.0000, 0.0000, 0.0000), Tl at (0.5000, 0.5000, 0.5000) and Br at (0.0000, 0.0000, 0.5000).



No. 2
An optimized crystal structure of SrTl2Br8. Source: Alexandria via LeMat-Bulk, functional PBE.

The value obtained for the energy above the most stable polymorph in this dataset is 0 meV per atom.

The structure belongs to space group C2/c (No. 15); the cell edges are 19.7153, 9.7567 and 13.5243 Å and the angles 90.00°, 131.24° and 90.00°. The inequivalent atoms are Sr at (0.0000, 0.0168, 0.2500), Tl at (0.0960, 0.2631, 0.0423), Br at (0.0721, 0.2053, 0.6746), Br at (0.1064, 0.2498, 0.2488), Br at (0.1575, 0.4937, 0.0438) and Br at (0.1738, 0.0431, 0.0376).



No. 3
An optimized crystal structure of SrTlBr. Source: Alexandria via LeMat-Bulk, functional PBE.

The value obtained for the energy above the most stable polymorph in this dataset is 27 meV per atom.

The structure belongs to space group Cm (No. 8); the cell edges are 7.1016, 5.1116 and 12.2587 Å and the angles 90.00°, 92.42° and 90.00°. The inequivalent atoms are Sr at (0.0000, 0.0000, 0.0000), Sr at (0.0349, 0.5000, 0.4899), Tl at (0.1408, 0.5000, 0.1809), Tl at (0.1490, 0.0000, 0.3094), Br at (0.3652, 0.0000, 0.8779) and Br at (0.4174, 0.5000, 0.6125).



No. 4
An optimized crystal structure of Sr2TlBr. Source: Alexandria via LeMat-Bulk, functional PBE.

The value obtained for the energy above the most stable polymorph in this dataset is 696 meV per atom.

The structure belongs to space group F-43m (No. 216); the cell edges are 8.4472, 8.4472 and 8.4472 Å and the angles 90.00°, 90.00° and 90.00°. The inequivalent atoms are Sr at (0.0000, 0.0000, 0.0000), Sr at (0.2500, 0.2500, 0.2500), Tl at (0.2500, 0.2500, 0.7500) and Br at (0.0000, 0.0000, 0.5000).



No. 5
An optimized crystal structure of SrTl2Br4. Source: Alexandria via LeMat-Bulk, functional PBE.

The value obtained for the energy above the most stable polymorph in this dataset is 261 meV per atom.

The structure belongs to space group I4/mmm (No. 139); the cell edges are 5.7309, 5.7309 and 23.6404 Å and the angles 90.00°, 90.00° and 90.00°. The inequivalent atoms are Sr at (0.0000, 0.0000, 0.0000), Tl at (0.0000, 0.0000, 0.1865), Br at (0.0000, 0.0000, 0.3065) and Br at (0.0000, 0.5000, 0.0000).



No. 6
An optimized crystal structure of SrTlBr. Source: Alexandria via LeMat-Bulk, functional PBE.

The value obtained for the energy above the most stable polymorph in this dataset is 29 meV per atom.

The structure belongs to space group R-3m (No. 166, hexagonal axes); the cell edges are 4.6538, 4.6538 and 36.7140 Å and the angles 90.00°, 90.00° and 120.00°. The inequivalent atoms are Sr at (0.0000, 0.0000, 0.2494), Tl at (0.0000, 0.0000, 0.1456) and Br at (0.0000, 0.0000, 0.3775).



No. 7
An optimized crystal structure of Sr2Tl2Br. Source: Alexandria via LeMat-Bulk, functional PBE.

The value obtained for the energy above the most stable polymorph in this dataset is 138 meV per atom.

The structure belongs to space group P4/mbm (No. 127); the cell edges are 9.4326, 9.4326 and 4.0983 Å and the angles 90.00°, 90.00° and 90.00°. The inequivalent atoms are Sr at (0.1881, 0.3119, 0.0000), Tl at (0.1124, 0.6124, 0.5000) and Br at (0.0000, 0.0000, 0.5000).



No. 8
An optimized crystal structure of Sr2TlBr. Source: Alexandria via LeMat-Bulk, functional PBE.

The value obtained for the energy above the most stable polymorph in this dataset is 0 meV per atom.

The structure belongs to space group Pmmm (No. 47); the cell edges are 3.9867, 4.2089 and 8.9859 Å and the angles 90.00°, 90.00° and 90.00°. The inequivalent atoms are Sr at (0.0000, 0.0000, 0.2231), Tl at (0.5000, 0.5000, 0.0000) and Br at (0.5000, 0.0000, 0.5000).



No. 9
An optimized crystal structure of Sr2Tl2Br. Source: Alexandria via LeMat-Bulk, functional PBE.

The value obtained for the energy above the most stable polymorph in this dataset is 309 meV per atom.

The structure belongs to space group I4/mmm (No. 139); the cell edges are 6.5401, 6.5401 and 9.3082 Å and the angles 90.00°, 90.00° and 90.00°. The inequivalent atoms are Sr at (0.0000, 0.5000, 0.2500), Tl at (0.0000, 0.0000, 0.1512) and Br at (0.0000, 0.0000, 0.5000).



No. 10
An optimized crystal structure of Sr2TlBr. Source: Alexandria via LeMat-Bulk, functional PBE.

The value obtained for the energy above the most stable polymorph in this dataset is 210 meV per atom.

The structure belongs to space group Immm (No. 71); the cell edges are 4.5983, 6.8154 and 9.5122 Å and the angles 90.00°, 90.00° and 90.00°. The inequivalent atoms are Sr at (0.0000, 0.0000, 0.2252), Tl at (0.0000, 0.5000, 0.0000) and Br at (0.0000, 0.5000, 0.5000).



No. 11
An optimized crystal structure of Sr2TlBr. Source: Alexandria via LeMat-Bulk, functional PBE.

The value obtained for the energy above the most stable polymorph in this dataset is 105 meV per atom.

The structure belongs to space group Amm2 (No. 38); the cell edges are 5.4219, 4.0823 and 13.1559 Å and the angles 90.00°, 90.00° and 90.00°. The inequivalent atoms are Sr at (0.0000, 0.0000, 0.0000), Sr at (0.5000, 0.0000, 0.2577), Tl at (0.5000, 0.0000, 0.5244) and Br at (0.0000, 0.0000, 0.7632).



No. 12
An optimized crystal structure of Sr2TlBr. Source: Alexandria via LeMat-Bulk, functional PBE.

The value obtained for the energy above the most stable polymorph in this dataset is 13 meV per atom.

The structure belongs to space group C2/m (No. 12); the cell edges are 7.6730, 4.4257 and 9.1076 Å and the angles 90.00°, 106.42° and 90.00°. The inequivalent atoms are Sr at (0.2498, 0.0000, 0.2472), Tl at (0.0000, 0.5000, 0.0000) and Br at (0.0000, 0.0000, 0.5000).



No. 13
An optimized crystal structure of Sr2Tl2Br. Source: Alexandria via LeMat-Bulk, functional PBE.

The value obtained for the energy above the most stable polymorph in this dataset is 0 meV per atom.

The structure belongs to space group P4/mbm (No. 127); the cell edges are 8.4443, 8.4443 and 5.2427 Å and the angles 90.00°, 90.00° and 90.00°. The inequivalent atoms are Sr at (0.1727, 0.3273, 0.0000), Tl at (0.1282, 0.6282, 0.5000) and Br at (0.0000, 0.0000, 0.0000).



No. 14
An optimized crystal structure of SrTlBr. Source: Alexandria via LeMat-Bulk, functional PBE.

The value obtained for the energy above the most stable polymorph in this dataset is 598 meV per atom.

The structure belongs to space group F-43m (No. 216); the cell edges are 7.8489, 7.8489 and 7.8489 Å and the angles 90.00°, 90.00° and 90.00°. The inequivalent atoms are Sr at (0.0000, 0.0000, 0.0000), Tl at (0.2500, 0.2500, 0.7500) and Br at (0.2500, 0.2500, 0.2500).



No. 15
An optimized crystal structure of Sr3TlBr. Source: Alexandria via LeMat-Bulk, functional PBE.

The value obtained for the energy above the most stable polymorph in this dataset is 0 meV per atom.

The structure belongs to space group Pm-3m (No. 221); the cell edges are 5.9215, 5.9215 and 5.9215 Å and the angles 90.00°, 90.00° and 90.00°. The inequivalent atoms are Sr at (0.0000, 0.0000, 0.5000), Tl at (0.5000, 0.5000, 0.5000) and Br at (0.0000, 0.0000, 0.0000).



No. 16
An optimized crystal structure of SrTlBr. Source: Alexandria via LeMat-Bulk, functional PBE.

The value obtained for the energy above the most stable polymorph in this dataset is 0 meV per atom.

The structure belongs to space group R-3m (No. 166, hexagonal axes); the cell edges are 4.9720, 4.9720 and 29.5060 Å and the angles 90.00°, 90.00° and 120.00°. The inequivalent atoms are Sr at (0.0000, 0.0000, 0.0856), Tl at (0.0000, 0.0000, 0.3473) and Br at (0.0000, 0.0000, 0.2052).



No. 17
An optimized crystal structure of SrTlBr. Source: Alexandria via LeMat-Bulk, functional PBE.

The value obtained for the energy above the most stable polymorph in this dataset is 302 meV per atom.

The structure belongs to space group P3m1 (No. 156); the cell edges are 4.1368, 4.1368 and 8.2930 Å and the angles 90.00°, 90.00° and 120.00°. The inequivalent atoms are Sr at (0.0000, 0.0000, 0.0000), Tl at (0.3333, 0.6667, 0.3377) and Br at (0.6667, 0.3333, 0.7705).



No. 18
An optimized crystal structure of SrTl3Br. Source: Alexandria via LeMat-Bulk, functional PBE.

The value obtained for the energy above the most stable polymorph in this dataset is 440 meV per atom.

The structure belongs to space group Pm-3m (No. 221); the cell edges are 6.4693, 6.4693 and 6.4693 Å and the angles 90.00°, 90.00° and 90.00°. The inequivalent atoms are Sr at (0.0000, 0.0000, 0.0000), Tl at (0.0000, 0.0000, 0.5000) and Br at (0.5000, 0.5000, 0.5000).



No. 19
An optimized crystal structure of SrTlBr. Source: Alexandria via LeMat-Bulk, functional PBE.

The value obtained for the energy above the most stable polymorph in this dataset is 32 meV per atom.

The structure belongs to space group P4/nmm (No. 129, origin choice 2); the cell edges are 4.4180, 4.4180 and 10.1438 Å and the angles 90.00°, 90.00° and 90.00°. The inequivalent atoms are Sr at (0.2500, 0.2500, 0.2157), Tl at (0.2500, 0.7500, 0.5000) and Br at (0.2500, 0.2500, 0.8913).



No. 20
An optimized crystal structure of SrTlBr. Source: Alexandria via LeMat-Bulk, functional PBE.

The value obtained for the energy above the most stable polymorph in this dataset is 266 meV per atom.

The structure belongs to space group I4mm (No. 107); the cell edges are 4.0801, 4.0801 and 13.5354 Å and the angles 90.00°, 90.00° and 90.00°. The inequivalent atoms are Sr at (0.0000, 0.0000, 0.0000), Tl at (0.0000, 0.0000, 0.6519) and Br at (0.0000, 0.0000, 0.3937).